Density functional theory data (PBE-GGA) for a geometry-optimized Ce3Y2TmSb6 structure.

Computed properties:
- calculated volume (Å³/f.u.) = 371
- ΔE_f (raw) (eV/atom) = -1.089
- magnetic moment (μB per cell) = 2.42
- space group = C2/m, No. 12
- ρ (g/cm³) = 6.7
- Fermi-level density of states (states/eV/cell) = 20.174

Cell: 7.691 7.691 7.676 Å, 99.62 99.62 119.99°
Sites, in units of the cell vectors:
Y  0.666  0.334  0.000
Tm  0.000  0.000  0.000
Ce  0.832  0.168  0.500
Ce  0.500  0.500  0.500
Sb  0.750  0.750  0.244
Sb  0.250  0.250  0.756
Sb  0.919  0.588  0.758
Ce  0.168  0.832  0.500
Sb  0.081  0.412  0.242
Sb  0.588  0.919  0.758
Sb  0.412  0.081  0.242
Y  0.334  0.666  0.000